Entry 1:
Below is a geometry-optimized HfTa2TiH structure, with properties calculated at the PBE-GGA level.

Cell and atoms, written as CIF:
```
data_HfTa2TiH
_cell_length_a 4.112
_cell_length_b 4.112
_cell_length_c 4.629
_cell_angle_alpha 90.00
_cell_angle_beta 90.00
_cell_angle_gamma 90.00
_symmetry_space_group_name_H-M 'P 1'
_symmetry_Int_Tables_number 1
_symmetry_space_group_name_Hall 'P 1'
loop_
_atom_site_label
_atom_site_type_symbol
_atom_site_fract_x
_atom_site_fract_y
_atom_site_fract_z
Ti1 Ti 0.000 0.000 0.500
H1 H 0.000 0.000 0.000
Ta1 Ta 0.000 0.500 0.000
Ta2 Ta 0.500 0.000 0.000
Hf1 Hf 0.500 0.500 0.500
```

Output
Density (Mg/m³): 12.502
Fermi-level density of states (states/eV/f.u.): 6.851
Relative energy among the computed polymorphs (meV/atom): 0
Total magnetization (μB per atom): 0.00

Entry 2:
Below is a geometry-optimized Hf2TaTlH structure, with properties calculated at the PBE-GGA level.

Cell and atoms, written as CIF:
```
data_Hf2TaTlH
_cell_length_a 4.593
_cell_length_b 4.593
_cell_length_c 4.009
_cell_angle_alpha 90.00
_cell_angle_beta 90.00
_cell_angle_gamma 90.00
_symmetry_space_group_name_H-M 'P 1'
_symmetry_Int_Tables_number 1
_symmetry_space_group_name_Hall 'P 1'
loop_
_atom_site_label
_atom_site_type_symbol
_atom_site_fract_x
_atom_site_fract_y
_atom_site_fract_z
Hf1 Hf 0.000 0.500 0.000
Hf2 Hf 0.500 0.000 0.000
Tl1 Tl 0.500 0.500 0.500
H1 H 0.000 0.000 0.000
Ta1 Ta 0.000 0.000 0.500
```

Output
Total energy (eV/cell): -37.6
Density (Mg/m³): 14.594
Fermi-level density of states (states/eV/f.u.): 5.144
Total magnetization (μB per atom): 0.00

Entry 3:
Below is a geometry-optimized HfTa2HW structure, with properties calculated at the PBE-GGA level.

Cell and atoms, written as CIF:
```
data_HfTa2HW
_cell_length_a 5.137
_cell_length_b 5.137
_cell_length_c 3.271
_cell_angle_alpha 90.00
_cell_angle_beta 90.00
_cell_angle_gamma 90.00
_symmetry_space_group_name_H-M 'P 1'
_symmetry_Int_Tables_number 1
_symmetry_space_group_name_Hall 'P 1'
loop_
_atom_site_label
_atom_site_type_symbol
_atom_site_fract_x
_atom_site_fract_y
_atom_site_fract_z
H1 H 0.000 0.000 0.500
Ta1 Ta 0.500 0.000 0.000
Ta2 Ta 0.000 0.500 0.000
W1 W 0.500 0.500 0.500
Hf1 Hf 0.000 0.000 0.000
```

Output
Total energy (eV/cell): -43.7
Density (Mg/m³): 13.955
Fermi-level density of states (states/eV/f.u.): 5.319
Total magnetization (μB per atom): 0.00

Entry 4:
Below is a geometry-optimized Hf2TaZnH structure, with properties calculated at the PBE-GGA level.

Cell and atoms, written as CIF:
```
data_Hf2TaZnH
_cell_length_a 4.373
_cell_length_b 4.373
_cell_length_c 4.086
_cell_angle_alpha 90.00
_cell_angle_beta 90.00
_cell_angle_gamma 90.00
_symmetry_space_group_name_H-M 'P 1'
_symmetry_Int_Tables_number 1
_symmetry_space_group_name_Hall 'P 1'
loop_
_atom_site_label
_atom_site_type_symbol
_atom_site_fract_x
_atom_site_fract_y
_atom_site_fract_z
Ta1 Ta 0.000 0.000 0.500
H1 H 0.000 0.000 0.000
Hf1 Hf 0.000 0.500 0.000
Hf2 Hf 0.500 0.000 0.000
Zn1 Zn 0.500 0.500 0.500
```

Output
Density (Mg/m³): 12.846
Fermi-level density of states (states/eV/f.u.): 4.101
Relative energy among the computed polymorphs (meV/atom): 0
Total magnetization (μB per atom): 0.00

Entry 5:
Below is a geometry-optimized HfTaZn2H structure, with properties calculated at the PBE-GGA level.

Cell and atoms, written as CIF:
```
data_HfTaZn2H
_cell_length_a 5.081
_cell_length_b 3.287
_cell_length_c 5.081
_cell_angle_alpha 90.00
_cell_angle_beta 90.00
_cell_angle_gamma 90.00
_symmetry_space_group_name_H-M 'P 1'
_symmetry_Int_Tables_number 1
_symmetry_space_group_name_Hall 'P 1'
loop_
_atom_site_label
_atom_site_type_symbol
_atom_site_fract_x
_atom_site_fract_y
_atom_site_fract_z
Hf1 Hf 0.000 0.000 0.000
Ta1 Ta 0.500 0.500 0.500
H1 H 0.000 0.500 0.000
Zn1 Zn 0.500 0.000 0.000
Zn2 Zn 0.000 0.000 0.500
```

Output
Total energy (eV/cell): -23.9
Density (Mg/m³): 9.614
Fermi-level density of states (states/eV/f.u.): 3.434
Total magnetization (μB per atom): 0.00

Entry 6:
Below is a geometry-optimized Hf2TaZnH structure, with properties calculated at the PBE-GGA level.

Cell and atoms, written as CIF:
```
data_Hf2TaZnH
_cell_length_a 4.318
_cell_length_b 4.318
_cell_length_c 4.187
_cell_angle_alpha 90.00
_cell_angle_beta 90.00
_cell_angle_gamma 90.00
_symmetry_space_group_name_H-M 'P 1'
_symmetry_Int_Tables_number 1
_symmetry_space_group_name_Hall 'P 1'
loop_
_atom_site_label
_atom_site_type_symbol
_atom_site_fract_x
_atom_site_fract_y
_atom_site_fract_z
Hf1 Hf 0.500 0.000 0.000
Hf2 Hf 0.000 0.500 0.000
H1 H 0.000 0.000 0.000
Zn1 Zn 0.000 0.000 0.500
Ta1 Ta 0.500 0.500 0.500
```

Output
Density (Mg/m³): 12.853
Fermi-level density of states (states/eV/f.u.): 3.682
Relative energy among the computed polymorphs (meV/atom): 86
Total magnetization (μB per atom): 0.00

Entry 7:
Below is a geometry-optimized HfZr2TaH structure, with properties calculated at the PBE-GGA level.

Cell and atoms, written as CIF:
```
data_HfZr2TaH
_cell_length_a 4.542
_cell_length_b 4.542
_cell_length_c 4.286
_cell_angle_alpha 90.00
_cell_angle_beta 90.00
_cell_angle_gamma 90.00
_symmetry_space_group_name_H-M 'P 1'
_symmetry_Int_Tables_number 1
_symmetry_space_group_name_Hall 'P 1'
loop_
_atom_site_label
_atom_site_type_symbol
_atom_site_fract_x
_atom_site_fract_y
_atom_site_fract_z
Ta1 Ta 0.500 0.500 0.500
Zr1 Zr 0.500 0.000 0.000
Zr2 Zr 0.000 0.500 0.000
H1 H 0.000 0.000 0.000
Hf1 Hf 0.000 0.000 0.500
```

Output
Density (Mg/m³): 10.196
Fermi-level density of states (states/eV/f.u.): 7.384
Relative energy among the computed polymorphs (meV/atom): 20
Total magnetization (μB per atom): 0.00

Entry 8:
Below is a geometry-optimized HfZr2TaH structure, with properties calculated at the PBE-GGA level.

Cell and atoms, written as CIF:
```
data_HfZr2TaH
_cell_length_a 4.703
_cell_length_b 4.703
_cell_length_c 3.984
_cell_angle_alpha 90.00
_cell_angle_beta 90.00
_cell_angle_gamma 90.00
_symmetry_space_group_name_H-M 'P 1'
_symmetry_Int_Tables_number 1
_symmetry_space_group_name_Hall 'P 1'
loop_
_atom_site_label
_atom_site_type_symbol
_atom_site_fract_x
_atom_site_fract_y
_atom_site_fract_z
H1 H 0.000 0.000 0.000
Hf1 Hf 0.500 0.500 0.500
Zr1 Zr 0.000 0.500 0.000
Zr2 Zr 0.500 0.000 0.000
Ta1 Ta 0.000 0.000 0.500
```

Output
Density (Mg/m³): 10.230
Fermi-level density of states (states/eV/f.u.): 6.599
Relative energy among the computed polymorphs (meV/atom): 0
Total magnetization (μB per atom): 0.00

Entry 9:
Below is a geometry-optimized Tb3HfH structure, with properties calculated at the PBE-GGA level.

Cell and atoms, written as CIF:
```
data_Tb3HfH
_cell_length_a 4.861
_cell_length_b 4.861
_cell_length_c 4.861
_cell_angle_alpha 90.00
_cell_angle_beta 90.00
_cell_angle_gamma 90.00
_symmetry_space_group_name_H-M 'P 1'
_symmetry_Int_Tables_number 1
_symmetry_space_group_name_Hall 'P 1'
loop_
_atom_site_label
_atom_site_type_symbol
_atom_site_fract_x
_atom_site_fract_y
_atom_site_fract_z
Tb1 Tb 0.000 0.000 0.500
Tb2 Tb 0.000 0.500 0.000
Tb3 Tb 0.500 0.000 0.000
Hf1 Hf 0.500 0.500 0.500
H1 H 0.000 0.000 0.000
```

Output
Total energy (eV/cell): -27.4
Density (Mg/m³): 9.489
Fermi-level density of states (states/eV/f.u.): 5.618
Total magnetization (μB per atom): 0.00

Entry 10:
Below is a geometry-optimized TbHfH structure, with properties calculated at the PBE-GGA level.

Cell and atoms, written as CIF:
```
data_TbHfH
_cell_length_a 5.082
_cell_length_b 7.253
_cell_length_c 6.811
_cell_angle_alpha 118.02
_cell_angle_beta 90.00
_cell_angle_gamma 90.00
_symmetry_space_group_name_H-M 'P 1'
_symmetry_Int_Tables_number 1
_symmetry_space_group_name_Hall 'P 1'
loop_
_atom_site_label
_atom_site_type_symbol
_atom_site_fract_x
_atom_site_fract_y
_atom_site_fract_z
Tb1 Tb 0.250 0.616 0.183
Tb2 Tb 0.750 0.384 0.817
Tb3 Tb 0.750 0.384 0.317
Tb4 Tb 0.250 0.616 0.683
Hf1 Hf 0.750 0.928 0.839
Hf2 Hf 0.250 0.072 0.161
Hf3 Hf 0.250 0.072 0.661
Hf4 Hf 0.750 0.928 0.339
H1 H 0.749 0.608 0.179
H2 H 0.251 0.392 0.821
H3 H 0.249 0.392 0.321
H4 H 0.751 0.608 0.679
```

Output
Total energy (eV/cell): -73.7
Density (Mg/m³): 10.143
Fermi-level density of states (states/eV/f.u.): 1.412
Total magnetization (μB per atom): 0.00

Entry 11:
Below is a geometry-optimized TbHfH2 structure, with properties calculated at the PBE-GGA level.

Cell and atoms, written as CIF:
```
data_TbHfH2
_cell_length_a 3.324
_cell_length_b 3.324
_cell_length_c 5.857
_cell_angle_alpha 73.52
_cell_angle_beta 73.52
_cell_angle_gamma 60.00
_symmetry_space_group_name_H-M 'P 1'
_symmetry_Int_Tables_number 1
_symmetry_space_group_name_Hall 'P 1'
loop_
_atom_site_label
_atom_site_type_symbol
_atom_site_fract_x
_atom_site_fract_y
_atom_site_fract_z
Tb1 Tb 0.500 0.500 0.500
Hf1 Hf 0.000 0.000 0.000
H1 H 0.731 0.731 0.808
H2 H 0.269 0.269 0.192
```

Output
Total energy (eV/cell): -22.3
Density (Mg/m³): 10.645
Fermi-level density of states (states/eV/f.u.): 3.330
Total magnetization (μB per atom): 0.00

Entry 12:
Below is a geometry-optimized Tb2HfH structure, with properties calculated at the PBE-GGA level.

Cell and atoms, written as CIF:
```
data_Tb2HfH
_cell_length_a 3.251
_cell_length_b 3.251
_cell_length_c 8.054
_cell_angle_alpha 90.00
_cell_angle_beta 90.00
_cell_angle_gamma 90.00
_symmetry_space_group_name_H-M 'P 1'
_symmetry_Int_Tables_number 1
_symmetry_space_group_name_Hall 'P 1'
loop_
_atom_site_label
_atom_site_type_symbol
_atom_site_fract_x
_atom_site_fract_y
_atom_site_fract_z
Tb1 Tb 0.000 0.000 0.209
Tb2 Tb 0.000 0.000 0.791
Hf1 Hf 0.500 0.500 0.500
H1 H 0.500 0.500 0.000
```

Output
Density (Mg/m³): 9.703
Fermi-level density of states (states/eV/f.u.): 3.581
Relative energy among the computed polymorphs (meV/atom): 0
Total magnetization (μB per atom): 0.00